No. 1
A relaxed CoBiIO2 crystal, computed with PBE with a Hubbard U. Values from VASP.

Calculated values
* symmetry: P2_1/m
* E above lowest polymorph: 0 meV per atom

```
&SYSTEM
  ibrav = 0, nat = 10, ntyp = 4
/
ATOMIC_SPECIES
Co 58.93 Co.upf
Bi 208.98 Bi.upf
I 126.90 I.upf
O 16.00 O.upf
CELL_PARAMETERS angstrom
3.743 0.000 0.000
0.000 7.792 -0.665
0.000 -2.518 8.070
ATOMIC_POSITIONS angstrom
Co 0.936 2.536 7.580
Co 2.807 2.739 -0.174
Bi 0.936 3.949 2.822
Bi 2.807 1.325 4.584
I 0.936 -1.321 6.452
I 2.807 6.596 0.954
O 2.807 2.776 2.758
O 0.936 2.499 4.648
O 2.807 1.841 6.709
O 0.936 3.434 0.696
```

No. 2
A relaxed CoBiIO2 crystal, computed with PBE with a Hubbard U. Values from VASP.

Calculated values
* symmetry: P4/mmm
* E above lowest polymorph: 745 meV per atom

```
&SYSTEM
  ibrav = 0, nat = 5, ntyp = 4
/
ATOMIC_SPECIES
I 126.90 I.upf
Co 58.93 Co.upf
Bi 208.98 Bi.upf
O 16.00 O.upf
CELL_PARAMETERS angstrom
4.211 0.000 0.000
0.000 4.211 0.000
0.000 0.000 6.894
ATOMIC_POSITIONS angstrom
I 0.000 0.000 3.447
Co 2.106 2.106 3.447
Bi 0.000 0.000 0.000
O 0.000 2.106 0.000
O 2.106 0.000 0.000
```

No. 3
A relaxed CoBiIO2 crystal, computed with PBE with a Hubbard U. Values from VASP.

Calculated values
* symmetry: P4/mmm
* E above lowest polymorph: 924 meV per atom

```
&SYSTEM
  ibrav = 0, nat = 5, ntyp = 4
/
ATOMIC_SPECIES
I 126.90 I.upf
Co 58.93 Co.upf
Bi 208.98 Bi.upf
O 16.00 O.upf
CELL_PARAMETERS angstrom
-3.617 -0.354 -2.221
-1.739 -2.228 3.186
-1.646 4.168 2.016
ATOMIC_POSITIONS angstrom
I -0.823 2.084 1.008
Co 0.000 0.000 0.000
Bi -3.501 0.793 1.491
O -0.869 -1.114 1.593
O -1.808 -0.177 -1.111
```

No. 4
A relaxed CoBiI2O crystal, computed with PBE with a Hubbard U. Values from VASP.

Calculated values
* symmetry: P4/mmm
* E above lowest polymorph: 404 meV per atom

```
&SYSTEM
  ibrav = 0, nat = 5, ntyp = 4
/
ATOMIC_SPECIES
I 126.90 I.upf
Co 58.93 Co.upf
Bi 208.98 Bi.upf
O 16.00 O.upf
CELL_PARAMETERS angstrom
6.288 0.000 0.000
0.000 6.288 0.000
0.000 0.000 4.314
ATOMIC_POSITIONS angstrom
I 0.000 3.144 0.000
I 3.144 0.000 0.000
Co 3.144 3.144 2.157
Bi 0.000 0.000 0.000
O 0.000 0.000 2.157
```

No. 5
A relaxed CoBiI2O crystal, computed with PBE with a Hubbard U. Values from VASP.

Calculated values
* symmetry: P4/mmm
* E above lowest polymorph: 0 meV per atom

```
&SYSTEM
  ibrav = 0, nat = 5, ntyp = 4
/
ATOMIC_SPECIES
I 126.90 I.upf
Co 58.93 Co.upf
Bi 208.98 Bi.upf
O 16.00 O.upf
CELL_PARAMETERS angstrom
-2.534 3.910 3.582
-4.690 -3.506 0.509
1.541 -1.643 2.884
ATOMIC_POSITIONS angstrom
I -2.345 -1.753 0.254
I -1.267 1.955 1.791
Co 0.000 0.000 0.000
Bi -2.841 -0.619 3.488
O 0.771 -0.822 1.442
```